Record 1
DFT (PBE) results for a relaxed structure of ZrAlTl.

Output
Excess energy over the best structure of this formula in the dataset (kJ/mol of atoms): 41.5
V (A^3/atom): 23.3
Magnetization (μB/cell): 0.00

Cell and atoms, written as CIF:
```
data_ZrAlTl
_symmetry_space_group_name_H-M 'F -4 3 m'
_symmetry_Int_Tables_number 216
_symmetry_space_group_name_Hall 'F -4 2 3'
_cell_length_a 6.5397
_cell_length_b 6.5397
_cell_length_c 6.5397
_cell_angle_alpha 90.00
_cell_angle_beta 90.00
_cell_angle_gamma 90.00
loop_
_atom_site_label
_atom_site_fract_x
_atom_site_fract_y
_atom_site_fract_z
Zr1 0.0000 0.0000 0.0000
Al1 0.2500 0.2500 0.7500
Tl1 0.0000 0.0000 0.5000
```

=====

Record 2
DFT (PBE) results for a relaxed structure of Zr4AlTl.

Output
Excess energy over the best structure of this formula in the dataset (kJ/mol of atoms): 38.9
V (A^3/atom): 25.0
Magnetization (μB/cell): 0.00

Cell and atoms, written as CIF:
```
data_Zr4AlTl
_symmetry_space_group_name_H-M 'R -3 m'
_symmetry_Int_Tables_number 166
_symmetry_space_group_name_Hall '-R 3 2"'
_cell_length_a 4.7196
_cell_length_b 4.7196
_cell_length_c 23.3135
_cell_angle_alpha 90.00
_cell_angle_beta 90.00
_cell_angle_gamma 120.00
loop_
_atom_site_label
_atom_site_fract_x
_atom_site_fract_y
_atom_site_fract_z
Zr1 0.0000 0.0000 0.1186
Zr2 0.0000 0.0000 0.3699
Al1 0.0000 0.0000 0.0000
Tl1 0.0000 0.0000 0.5000
```

=====

Record 3
DFT (PBE) results for a relaxed structure of ZrAlTl.

Output
Excess energy over the best structure of this formula in the dataset (kJ/mol of atoms): 15.0
V (A^3/atom): 21.0
Magnetization (μB/cell): 0.00

Cell and atoms, written as CIF:
```
data_ZrAlTl
_symmetry_space_group_name_H-M 'P 3 m 1'
_symmetry_Int_Tables_number 156
_symmetry_space_group_name_Hall 'P 3 -2"'
_cell_length_a 4.7790
_cell_length_b 4.7790
_cell_length_c 3.1852
_cell_angle_alpha 90.00
_cell_angle_beta 90.00
_cell_angle_gamma 120.00
loop_
_atom_site_label
_atom_site_fract_x
_atom_site_fract_y
_atom_site_fract_z
Zr1 0.0000 0.0000 0.0000
Al1 0.6667 0.3333 0.5019
Tl1 0.3333 0.6667 0.4981
```

=====

Record 4
DFT (PBE) results for a relaxed structure of Zr2AlTl.

Output
DFT total energy (Ry per atom): -0.4423
V (A^3/atom): 21.1
Magnetization (μB/cell): 0.00

Cell and atoms, written as CIF:
```
data_Zr2AlTl
_symmetry_space_group_name_H-M 'C m m m'
_symmetry_Int_Tables_number 65
_symmetry_space_group_name_Hall '-C 2 2'
_cell_length_a 6.1918
_cell_length_b 8.7071
_cell_length_c 3.1372
_cell_angle_alpha 90.00
_cell_angle_beta 90.00
_cell_angle_gamma 90.00
loop_
_atom_site_label
_atom_site_fract_x
_atom_site_fract_y
_atom_site_fract_z
Zr1 0.2500 0.2500 0.0000
Al1 0.0000 0.0000 0.5000
Tl1 0.0000 0.5000 0.5000
```

=====

Record 5
DFT (PBE) results for a relaxed structure of ZrAl2Tl.

Output
Excess energy over the best structure of this formula in the dataset (kJ/mol of atoms): 20.9
V (A^3/atom): 21.1
Magnetization (μB/cell): 0.00

Cell and atoms, written as CIF:
```
data_ZrAl2Tl
_symmetry_space_group_name_H-M 'R 3 m'
_symmetry_Int_Tables_number 160
_symmetry_space_group_name_Hall 'R 3 -2"'
_cell_length_a 3.1872
_cell_length_b 3.1872
_cell_length_c 28.7460
_cell_angle_alpha 90.00
_cell_angle_beta 90.00
_cell_angle_gamma 120.00
loop_
_atom_site_label
_atom_site_fract_x
_atom_site_fract_y
_atom_site_fract_z
Zr1 0.0000 0.0000 0.0000
Al1 0.0000 0.0000 0.4913
Al2 0.0000 0.0000 0.7477
Tl1 0.0000 0.0000 0.2429
```

=====

Record 6
DFT (PBE) results for a relaxed structure of ZrAlTl2.

Output
Excess energy over the best structure of this formula in the dataset (kJ/mol of atoms): 21.8
V (A^3/atom): 23.7
Magnetization (μB/cell): 0.00

Cell and atoms, written as CIF:
```
data_ZrAlTl2
_symmetry_space_group_name_H-M 'P 4/m m m'
_symmetry_Int_Tables_number 123
_symmetry_space_group_name_Hall '-P 4 2'
_cell_length_a 3.1360
_cell_length_b 3.1360
_cell_length_c 9.6317
_cell_angle_alpha 90.00
_cell_angle_beta 90.00
_cell_angle_gamma 90.00
loop_
_atom_site_label
_atom_site_fract_x
_atom_site_fract_y
_atom_site_fract_z
Zr1 0.0000 0.0000 0.0000
Al1 0.0000 0.0000 0.5000
Tl1 0.5000 0.5000 0.2445
```

=====

Record 7
DFT (PBE) results for a relaxed structure of ZrAl2Tl.

Output
Excess energy over the best structure of this formula in the dataset (kJ/mol of atoms): 12.0
V (A^3/atom): 20.7
Magnetization (μB/cell): 0.00

Cell and atoms, written as CIF:
```
data_ZrAl2Tl
_symmetry_space_group_name_H-M 'C m m m'
_symmetry_Int_Tables_number 65
_symmetry_space_group_name_Hall '-C 2 2'
_cell_length_a 6.0450
_cell_length_b 8.6542
_cell_length_c 3.1599
_cell_angle_alpha 90.00
_cell_angle_beta 90.00
_cell_angle_gamma 90.00
loop_
_atom_site_label
_atom_site_fract_x
_atom_site_fract_y
_atom_site_fract_z
Zr1 0.0000 0.0000 0.0000
Al1 0.2500 0.2500 0.5000
Tl1 0.0000 0.5000 0.0000
```

=====

Record 8
DFT (PBE) results for a relaxed structure of ZrAlTl.

Output
Excess energy over the best structure of this formula in the dataset (kJ/mol of atoms): 11.1
V (A^3/atom): 21.5
Magnetization (μB/cell): 0.00

Cell and atoms, written as CIF:
```
data_ZrAlTl
_symmetry_space_group_name_H-M 'I 4 m m'
_symmetry_Int_Tables_number 107
_symmetry_space_group_name_Hall 'I 4 -2'
_cell_length_a 3.3088
_cell_length_b 3.3088
_cell_length_c 11.7777
_cell_angle_alpha 90.00
_cell_angle_beta 90.00
_cell_angle_gamma 90.00
loop_
_atom_site_label
_atom_site_fract_x
_atom_site_fract_y
_atom_site_fract_z
Zr1 0.0000 0.0000 0.0000
Al1 0.0000 0.0000 0.6469
Tl1 0.0000 0.0000 0.3127
```

=====

Record 9
DFT (PBE) results for a relaxed structure of Zr2AlTl.

Output
DFT total energy (Ry per atom): -0.4468
V (A^3/atom): 21.2
Magnetization (μB/cell): 0.00

Cell and atoms, written as CIF:
```
data_Zr2AlTl
_symmetry_space_group_name_H-M 'P 4/m m m'
_symmetry_Int_Tables_number 123
_symmetry_space_group_name_Hall '-P 4 2'
_cell_length_a 3.1106
_cell_length_b 3.1106
_cell_length_c 8.7789
_cell_angle_alpha 90.00
_cell_angle_beta 90.00
_cell_angle_gamma 90.00
loop_
_atom_site_label
_atom_site_fract_x
_atom_site_fract_y
_atom_site_fract_z
Zr1 0.0000 0.0000 0.2252
Al1 0.5000 0.5000 0.0000
Tl1 0.5000 0.5000 0.5000
```

=====

Record 10
DFT (PBE) results for a relaxed structure of Zr2AlTl2.

Output
Excess energy over the best structure of this formula in the dataset (kJ/mol of atoms): 4.2
V (A^3/atom): 22.7
Magnetization (μB/cell): 0.00

Cell and atoms, written as CIF:
```
data_Zr2AlTl2
_symmetry_space_group_name_H-M 'P 4/m b m'
_symmetry_Int_Tables_number 127
_symmetry_space_group_name_Hall '-P 4 2ab'
_cell_length_a 7.2259
_cell_length_b 7.2259
_cell_length_c 4.3438
_cell_angle_alpha 90.00
_cell_angle_beta 90.00
_cell_angle_gamma 90.00
loop_
_atom_site_label
_atom_site_fract_x
_atom_site_fract_y
_atom_site_fract_z
Zr1 0.1709 0.3291 0.0000
Al1 0.0000 0.0000 0.5000
Tl1 0.1389 0.6389 0.5000
```

=====

Record 11
DFT (PBE) results for a relaxed structure of ZrAlTl2.

Output
Excess energy over the best structure of this formula in the dataset (kJ/mol of atoms): 15.1
V (A^3/atom): 23.4
Magnetization (μB/cell): 0.00

Cell and atoms, written as CIF:
```
data_ZrAlTl2
_symmetry_space_group_name_H-M 'P 4/m m m'
_symmetry_Int_Tables_number 123
_symmetry_space_group_name_Hall '-P 4 2'
_cell_length_a 5.3246
_cell_length_b 5.3246
_cell_length_c 3.2976
_cell_angle_alpha 90.00
_cell_angle_beta 90.00
_cell_angle_gamma 90.00
loop_
_atom_site_label
_atom_site_fract_x
_atom_site_fract_y
_atom_site_fract_z
Zr1 0.0000 0.0000 0.0000
Al1 0.5000 0.5000 0.0000
Tl1 0.0000 0.5000 0.5000
```

=====

Record 12
DFT (PBE) results for a relaxed structure of ZrAl2Tl.

Output
Excess energy over the best structure of this formula in the dataset (kJ/mol of atoms): 10.8
V (A^3/atom): 20.7
Magnetization (μB/cell): 0.00

Cell and atoms, written as CIF:
```
data_ZrAl2Tl
_symmetry_space_group_name_H-M 'P m m m'
_symmetry_Int_Tables_number 47
_symmetry_space_group_name_Hall '-P 2 2'
_cell_length_a 3.1240
_cell_length_b 4.4547
_cell_length_c 5.9471
_cell_angle_alpha 90.00
_cell_angle_beta 90.00
_cell_angle_gamma 90.00
loop_
_atom_site_label
_atom_site_fract_x
_atom_site_fract_y
_atom_site_fract_z
Zr1 0.0000 0.0000 0.0000
Al1 0.5000 0.5000 0.2177
Tl1 0.5000 0.0000 0.5000
```

=====

Record 13
DFT (PBE) results for a relaxed structure of Zr7Al2Tl2.

Output
DFT total energy (Ry per atom): -0.4638
V (A^3/atom): 24.4
Magnetization (μB/cell): 0.00

Cell and atoms, written as CIF:
```
data_Zr7Al2Tl2
_symmetry_space_group_name_H-M 'C m m m'
_symmetry_Int_Tables_number 65
_symmetry_space_group_name_Hall '-C 2 2'
_cell_length_a 7.7419
_cell_length_b 10.2039
_cell_length_c 6.7858
_cell_angle_alpha 90.00
_cell_angle_beta 90.00
_cell_angle_gamma 90.00
loop_
_atom_site_label
_atom_site_fract_x
_atom_site_fract_y
_atom_site_fract_z
Zr1 0.0000 0.0000 0.0000
Zr2 0.0000 0.5000 0.2548
Zr3 0.2500 0.2500 0.2720
Al1 0.0000 0.2819 0.0000
Tl1 0.1801 0.0000 0.5000
```

=====

Record 14
DFT (PBE) results for a relaxed structure of ZrAl2Tl.

Output
Excess energy over the best structure of this formula in the dataset (kJ/mol of atoms): 14.6
V (A^3/atom): 21.9
Magnetization (μB/cell): 0.00

Cell and atoms, written as CIF:
```
data_ZrAl2Tl
_symmetry_space_group_name_H-M 'P 4/m m m'
_symmetry_Int_Tables_number 123
_symmetry_space_group_name_Hall '-P 4 2'
_cell_length_a 3.0982
_cell_length_b 3.0982
_cell_length_c 9.1200
_cell_angle_alpha 90.00
_cell_angle_beta 90.00
_cell_angle_gamma 90.00
loop_
_atom_site_label
_atom_site_fract_x
_atom_site_fract_y
_atom_site_fract_z
Zr1 0.0000 0.0000 0.0000
Al1 0.5000 0.5000 0.2172
Tl1 0.0000 0.0000 0.5000
```

=====

Record 15
DFT (PBE) results for a relaxed structure of Zr2AlTl.

Output
DFT total energy (Ry per atom): -0.4183
V (A^3/atom): 22.9
Magnetization (μB/cell): 0.00

Cell and atoms, written as CIF:
```
data_Zr2AlTl
_symmetry_space_group_name_H-M 'I -4 2 d'
_symmetry_Int_Tables_number 122
_symmetry_space_group_name_Hall 'I -4 2bw'
_cell_length_a 7.8255
_cell_length_b 7.8255
_cell_length_c 5.9903
_cell_angle_alpha 90.00
_cell_angle_beta 90.00
_cell_angle_gamma 90.00
loop_
_atom_site_label
_atom_site_fract_x
_atom_site_fract_y
_atom_site_fract_z
Zr1 0.2416 0.7500 0.1250
Al1 0.0000 0.0000 0.0000
Tl1 0.0000 0.0000 0.5000
```

=====

Record 16
DFT (PBE) results for a relaxed structure of ZrAlTl3.

Output
Excess energy over the best structure of this formula in the dataset (kJ/mol of atoms): 0.0
V (A^3/atom): 36.4
Magnetization (μB/cell): 0.00

Cell and atoms, written as CIF:
```
data_ZrAlTl3
_symmetry_space_group_name_H-M 'P m -3 m'
_symmetry_Int_Tables_number 221
_symmetry_space_group_name_Hall '-P 4 2 3'
_cell_length_a 5.6688
_cell_length_b 5.6688
_cell_length_c 5.6688
_cell_angle_alpha 90.00
_cell_angle_beta 90.00
_cell_angle_gamma 90.00
loop_
_atom_site_label
_atom_site_fract_x
_atom_site_fract_y
_atom_site_fract_z
Zr1 0.0000 0.0000 0.0000
Al1 0.5000 0.5000 0.5000
Tl1 0.0000 0.0000 0.5000
```

=====

Record 17
DFT (PBE) results for a relaxed structure of ZrAlTl2.

Output
Excess energy over the best structure of this formula in the dataset (kJ/mol of atoms): 8.1
V (A^3/atom): 22.9
Magnetization (μB/cell): 0.00

Cell and atoms, written as CIF:
```
data_ZrAlTl2
_symmetry_space_group_name_H-M 'C m m m'
_symmetry_Int_Tables_number 65
_symmetry_space_group_name_Hall '-C 2 2'
_cell_length_a 6.1114
_cell_length_b 9.1921
_cell_length_c 3.2550
_cell_angle_alpha 90.00
_cell_angle_beta 90.00
_cell_angle_gamma 90.00
loop_
_atom_site_label
_atom_site_fract_x
_atom_site_fract_y
_atom_site_fract_z
Zr1 0.0000 0.0000 0.0000
Al1 0.0000 0.5000 0.0000
Tl1 0.2500 0.2500 0.5000
```

=====

Record 18
DFT (PBE) results for a relaxed structure of Zr2AlTl.

Output
DFT total energy (Ry per atom): -0.4425
V (A^3/atom): 21.1
Magnetization (μB/cell): 0.00

Cell and atoms, written as CIF:
```
data_Zr2AlTl
_symmetry_space_group_name_H-M 'P 4/m m m'
_symmetry_Int_Tables_number 123
_symmetry_space_group_name_Hall '-P 4 2'
_cell_length_a 4.4040
_cell_length_b 4.4040
_cell_length_c 4.3557
_cell_angle_alpha 90.00
_cell_angle_beta 90.00
_cell_angle_gamma 90.00
loop_
_atom_site_label
_atom_site_fract_x
_atom_site_fract_y
_atom_site_fract_z
Zr1 0.0000 0.5000 0.0000
Al1 0.0000 0.0000 0.5000
Tl1 0.5000 0.5000 0.5000
```

=====

Record 19
DFT (PBE) results for a relaxed structure of ZrAlTl3.

Output
Excess energy over the best structure of this formula in the dataset (kJ/mol of atoms): 4.3
V (A^3/atom): 28.6
Magnetization (μB/cell): 0.00

Cell and atoms, written as CIF:
```
data_ZrAlTl3
_symmetry_space_group_name_H-M 'P m -3 m'
_symmetry_Int_Tables_number 221
_symmetry_space_group_name_Hall '-P 4 2 3'
_cell_length_a 5.2308
_cell_length_b 5.2308
_cell_length_c 5.2308
_cell_angle_alpha 90.00
_cell_angle_beta 90.00
_cell_angle_gamma 90.00
loop_
_atom_site_label
_atom_site_fract_x
_atom_site_fract_y
_atom_site_fract_z
Zr1 0.0000 0.0000 0.0000
Al1 0.5000 0.5000 0.5000
Tl1 0.0000 0.5000 0.5000
```

=====

Record 20
DFT (PBE) results for a relaxed structure of ZrAl2Tl.

Output
Excess energy over the best structure of this formula in the dataset (kJ/mol of atoms): 3.9
V (A^3/atom): 20.2
Magnetization (μB/cell): 0.00

Cell and atoms, written as CIF:
```
data_ZrAl2Tl
_symmetry_space_group_name_H-M 'I 4/m m m'
_symmetry_Int_Tables_number 139
_symmetry_space_group_name_Hall '-I 4 2'
_cell_length_a 4.1481
_cell_length_b 4.1481
_cell_length_c 9.3862
_cell_angle_alpha 90.00
_cell_angle_beta 90.00
_cell_angle_gamma 90.00
loop_
_atom_site_label
_atom_site_fract_x
_atom_site_fract_y
_atom_site_fract_z
Zr1 0.0000 0.0000 0.0000
Al1 0.0000 0.5000 0.2500
Tl1 0.0000 0.0000 0.5000
```